# 1
# MgSn3Rh4

A relaxed MgSn3Rh4 crystal (PBE, Alexandria).

a b c (Å): 14.5435 4.3936 4.3941
angles (deg): 90.00 107.51 90.00
Space group C2/m (No. 12)
Inequivalent atoms, fractional coordinates:
Mg: 0.0000 0.0000 0.0000 x2
Sn: 0.0000 0.5000 0.5000 x2
Sn: 0.2465 0.0000 0.2464 x4
Rh: 0.1255 0.0000 0.6248 x4
Rh: 0.1255 0.5000 0.1249 x4

Results
The value obtained for the density of states at the Fermi level is 3.7 states/eV/f.u. Its volume is 268 Å³/cell. For the formation energy, the calculation gives -3.90 eV/f.u.

# 2
# KZr3C

A relaxed KZr3C crystal (PBE, Alexandria).

a b c (Å): 4.7923 4.7923 4.7923
angles (deg): 90.00 90.00 90.00
Space group Pm-3m (No. 221)
Inequivalent atoms, fractional coordinates:
K: 0.0000 0.0000 0.0000 x1
Zr: 0.0000 0.0000 0.5000 x3
C: 0.5000 0.5000 0.5000 x1

Results
The value obtained for the density of states at the Fermi level is 6.1 states/eV/f.u. The calculation puts the relative energy among the computed polymorphs at 2656 meV/atom. Its volume is 110 Å³/cell. For the formation energy, the calculation gives 15.76 eV/f.u.

# 3
# SmAg3S3

A relaxed SmAg3S3 crystal (PBE, Alexandria).

a b c (Å): 7.3137 7.3137 20.2268
angles (deg): 90.00 90.00 120.00
Space group R-3 (No. 148, hexagonal axes)
Inequivalent atoms, fractional coordinates:
Sm: 0.0000 0.0000 0.1661 x6
Ag: 0.0023 0.3239 0.6221 x18
S: 0.0021 0.3491 0.4244 x18

Results
Its formation energy (no corrections) is -0.743 eV/atom. Its volume is 937 Å³/cell.

# 4
# ReRh

A relaxed ReRh crystal (PBE, Alexandria).

a b c (Å): 5.1312 5.1312 5.1312
angles (deg): 90.00 90.00 90.00
Space group Fm-3m (No. 225)
Inequivalent atoms, fractional coordinates:
Re: 0.0000 0.0000 0.0000 x4
Rh: 0.0000 0.0000 0.5000 x4

Results
The value obtained for the density of states at the Fermi level is 3.9 states/eV/f.u. The calculation puts the relative energy among the computed polymorphs at 1434 meV/atom. Its volume is 135 Å³/cell. For the formation energy, the calculation gives 2.51 eV/f.u.

# 5
# PmZn2F8

A relaxed PmZn2F8 crystal (PBE, Alexandria).

a b c (Å): 5.5109 5.5109 10.7688
angles (deg): 90.00 90.00 90.00
Space group I422 (No. 97)
Inequivalent atoms, fractional coordinates:
Pm: 0.0000 0.0000 0.0000 x2
Zn: 0.0000 0.5000 0.2500 x4
F: 0.1639 0.3048 0.8713 x16

Results
The value obtained for the density of states at the Fermi level is 6.1 states/eV/f.u. Its formation energy (no corrections) is -2.659 eV/atom. Its volume is 327 Å³/cell.

# 6
# CdIn4Pb

A relaxed CdIn4Pb crystal (PBE, Alexandria).

a b c (Å): 8.8238 8.8238 8.8238
angles (deg): 90.00 90.00 90.00
Space group F-43m (No. 216)
Inequivalent atoms, fractional coordinates:
Cd: 0.0000 0.0000 0.0000 x4
In: 0.1250 0.1250 0.6250 x16
Pb: 0.2500 0.2500 0.2500 x4

Results
The value obtained for the density of states at the Fermi level is 3.2 states/eV/f.u. The calculation puts the relative energy among the computed polymorphs at 14 meV/atom. Its volume is 687 Å³/cell. For the formation energy, the calculation gives 0.69 eV/f.u.

# 7
# K3C

A relaxed K3C crystal (PBE, Alexandria).

a b c (Å): 4.1097 8.1920 11.0978
angles (deg): 90.00 90.00 90.00
Space group Pmmn (No. 59, origin choice 2)
Inequivalent atoms, fractional coordinates:
K: 0.2500 0.0307 0.1925 x4
K: 0.2500 0.2500 0.4929 x2
C: 0.2500 0.7500 0.6957 x2

Results
The value obtained for the density of states at the Fermi level is 2.4 states/eV/f.u. The calculation puts the relative energy among the computed polymorphs at 28 meV/atom. Its volume is 374 Å³/cell. For the formation energy, the calculation gives 4.31 eV/f.u.

# 8
# DyYTm2P4

A relaxed DyYTm2P4 crystal (PBE, Alexandria).

a b c (Å): 6.8909 3.9806 6.8918
angles (deg): 90.00 109.47 90.00
Space group P2/m (No. 10)
Inequivalent atoms, fractional coordinates:
Dy: 0.0000 0.0000 0.0000 x1
Y: 0.0000 0.5000 0.5000 x1
Tm: 0.5000 0.0000 0.5000 x1
Tm: 0.5000 0.5000 0.0000 x1
P: 0.2540 0.0000 0.7517 x2
P: 0.2540 0.5000 0.2510 x2

Results
The value obtained for the density of states at the Fermi level is 1.0 states/eV/f.u. Its volume is 178 Å³/cell. For the formation energy, the calculation gives -12.91 eV/f.u.